[1]
Here is a relaxed structure of Co2RhC2 from Alexandria via LeMat-Bulk. Energies are from GGA-PBE.

Cell and atoms, written as POSCAR:
```
Co2RhC2
1.0
-2.2741 2.3933 0.8749
-0.6402 -1.6717 2.9087
1.3301 2.3640 3.6565
C Co Rh
2 2 1
direct
0.5986 0.5986 0.8028
0.4014 0.4014 0.1972
0.7500 0.2500 0.5000
0.2500 0.7500 0.5000
0.0000 0.0000 0.0000
```

* distance to the lowest polymorph of the same formula: 0 meV per atom
* M_tot: 0.000 μB per formula unit
* energy relative to the elements: 529 meV/atom
* E_tot: -0.2746 hartree per atom
* space-group type: I4/mmm
* density of states at the Fermi level: 6.81 states/eV/cell


[2]
Here is a relaxed structure of KCuIr2 from Alexandria via LeMat-Bulk. Energies are from GGA-PBE.

Cell and atoms, written as POSCAR:
```
KCuIr2
1.0
-1.4625 -1.6697 3.1028
1.3112 -3.3761 -1.1988
4.0979 0.7605 2.3408
Ir K Cu
2 1 1
direct
0.5000 0.5000 0.0000
0.0000 0.0000 0.0000
0.0000 0.5000 0.5000
0.5000 0.0000 0.5000
```

* distance to the lowest polymorph of the same formula: 622 meV per atom
* M_tot: 0.710 μB per formula unit
* energy relative to the elements: 1043 meV/atom
* E_tot: -0.1722 hartree per atom
* space-group type: P4/mmm
* density of states at the Fermi level: 5.08 states/eV/cell


[3]
Here is a relaxed structure of Ta2ZnFe2Co5 from Alexandria via LeMat-Bulk. Energies are from GGA-PBE.

Cell and atoms, written as POSCAR:
```
Ta2ZnFe2Co5
1.0
3.7077 0.0000 0.0000
0.0000 8.2387 0.0000
0.0000 0.0000 8.2387
Co Fe Zn Ta
10 4 2 4
direct
0.5000 0.5699 0.7038
0.5000 0.7038 0.4301
0.5000 0.0699 0.7962
0.5000 0.2962 0.5699
0.5000 0.7962 0.9301
0.5000 0.4301 0.2962
0.5000 0.2038 0.0699
0.5000 0.5000 0.0000
0.5000 0.9301 0.2038
0.5000 0.0000 0.5000
0.0000 0.1309 0.6309
0.0000 0.3691 0.1309
0.0000 0.6309 0.8691
0.0000 0.8691 0.3691
0.0000 0.0000 0.0000
0.0000 0.5000 0.5000
0.0000 0.6668 0.1668
0.0000 0.8332 0.6668
0.0000 0.1668 0.3332
0.0000 0.3332 0.8332
```

* M_tot: 4.639 μB per formula unit
* energy relative to the elements: 2 meV/atom
* E_tot: -0.2845 hartree per atom
* space-group type: P4/mbm
* density of states at the Fermi level: 24.49 states/eV/cell


[4]
Here is a relaxed structure of CoRuSe2 from Alexandria via LeMat-Bulk. Energies are from GGA-PBE.

Cell and atoms, written as POSCAR:
```
CoRuSe2
1.0
3.1831 -0.0146 0.0000
-1.6897 2.6977 0.0000
0.0000 0.0000 7.7455
Ru Co Se
1 1 2
direct
0.5000 0.5000 0.7500
0.5000 0.5000 0.2500
0.0000 0.0000 0.4925
0.0000 0.0000 0.0075
```

* distance to the lowest polymorph of the same formula: 806 meV per atom
* M_tot: 2.129 μB per formula unit
* E_tot: -0.1946 hartree per atom
* space-group type: Cmmm
* density of states at the Fermi level: 5.04 states/eV/cell


Question: Among the records above, which one has the highest E_tot?
Answer: KCuIr2


Question: The lowest M_tot belongs to which entry?
Answer: Co2RhC2


Question: density of states at the Fermi level of number 1 (Co2RhC2)?
Answer: 6.81 states/eV/cell


Question: Among the records above, which one has the lowest E_tot?
Answer: Ta2ZnFe2Co5